# SrNpO4 PBE optimized geometry
data_SrNpO4
_symmetry_space_group_name_H-M 'P 1 21/c 1'
_symmetry_Int_Tables_number 14
_cell_length_a 6.059
_cell_length_b 5.525
_cell_length_c 6.096
_cell_angle_alpha 90.00
_cell_angle_beta 106.35
_cell_angle_gamma 90.00
loop_
_symmetry_equiv_pos_as_xyz
'x,y,z'
'-x,-y,-z'
'-x,y+1/2,-z+1/2'
'x,-y+1/2,z+1/2'
loop_
_atom_site_label
_atom_site_type_symbol
_atom_site_fract_x
_atom_site_fract_y
_atom_site_fract_z
_atom_site_occupancy
Sr1 Sr 0.000 0.000 0.000 1
Np1 Np 0.500 0.000 0.500 1
O1 O 0.198 0.144 0.402 1
O2 O 0.375 0.732 0.718 1
# Formation energy (no corrections) in eV/f.u.: -17.8

# Ac3CoICl PBE optimized geometry
data_Ac3CoICl
_symmetry_space_group_name_H-M 'P 1 21/m 1'
_symmetry_Int_Tables_number 11
_cell_length_a 10.251
_cell_length_b 4.277
_cell_length_c 10.271
_cell_angle_alpha 90.00
_cell_angle_beta 95.44
_cell_angle_gamma 90.00
loop_
_symmetry_equiv_pos_as_xyz
'x,y,z'
'-x,-y,-z'
'-x,y+1/2,-z'
'x,-y+1/2,z'
loop_
_atom_site_label
_atom_site_type_symbol
_atom_site_fract_x
_atom_site_fract_y
_atom_site_fract_z
_atom_site_occupancy
Ac1 Ac 0.082 0.250 0.347 1
Ac2 Ac 0.355 0.750 0.178 1
Ac3 Ac 0.362 0.750 0.570 1
Co1 Co 0.350 0.250 0.370 1
I1 I 0.323 0.250 0.884 1
Cl1 Cl 0.064 0.750 0.132 1
# Formation energy (no corrections) in eV/f.u.: -5.3

# Li2Th3Ga4 PBE optimized geometry
data_Li2Th3Ga4
_symmetry_space_group_name_H-M 'C 1 2/m 1'
_symmetry_Int_Tables_number 12
_cell_length_a 10.886
_cell_length_b 4.498
_cell_length_c 8.702
_cell_angle_alpha 90.00
_cell_angle_beta 108.88
_cell_angle_gamma 90.00
loop_
_symmetry_equiv_pos_as_xyz
'x,y,z'
'-x,-y,-z'
'-x,y,-z'
'x,-y,z'
'x+1/2,y+1/2,z'
'-x+1/2,-y+1/2,-z'
'-x+1/2,y+1/2,-z'
'x+1/2,-y+1/2,z'
loop_
_atom_site_label
_atom_site_type_symbol
_atom_site_fract_x
_atom_site_fract_y
_atom_site_fract_z
_atom_site_occupancy
Li1 Li 0.149 0.000 0.318 1
Th1 Th 0.000 0.500 0.000 1
Th2 Th 0.149 0.000 0.680 1
Ga1 Ga 0.075 0.500 0.403 1
Ga2 Ga 0.214 0.000 0.057 1
# Calculated formation energy in eV per atom: -0.403

# Nb5Ge2B PBE optimized geometry
data_Nb5Ge2B
_symmetry_space_group_name_H-M 'I 4/m c m'
_symmetry_Int_Tables_number 140
_symmetry_space_group_name_Hall '-I 4 2c'
_cell_length_a 6.551
_cell_length_b 6.551
_cell_length_c 12.009
_cell_angle_alpha 90.00
_cell_angle_beta 90.00
_cell_angle_gamma 90.00
loop_
_atom_site_label
_atom_site_type_symbol
_atom_site_fract_x
_atom_site_fract_y
_atom_site_fract_z
_atom_site_occupancy
Nb1 Nb 0.000 0.000 0.000 1
Nb2 Nb 0.166 0.334 0.158 1
Ge1 Ge 0.134 0.366 0.500 1
B1 B 0.000 0.000 0.250 1
# Calculated formation energy in eV per atom: -0.310

# Li2Tm2In PBE optimized geometry
data_Li2Tm2In
_symmetry_space_group_name_H-M 'C 1 2/c 1'
_symmetry_Int_Tables_number 15
_cell_length_a 10.541
_cell_length_b 6.457
_cell_length_c 7.559
_cell_angle_alpha 90.00
_cell_angle_beta 111.25
_cell_angle_gamma 90.00
loop_
_symmetry_equiv_pos_as_xyz
'x,y,z'
'-x,-y,-z'
'-x,y,-z+1/2'
'x,-y,z+1/2'
'x+1/2,y+1/2,z'
'-x+1/2,-y+1/2,-z'
'-x+1/2,y+1/2,-z+1/2'
'x+1/2,-y+1/2,z+1/2'
loop_
_atom_site_label
_atom_site_type_symbol
_atom_site_fract_x
_atom_site_fract_y
_atom_site_fract_z
_atom_site_occupancy
Li1 Li 0.074 0.137 0.443 1
Tm1 Tm 0.196 0.418 0.153 1
In1 In 0.000 0.258 0.750 1
# Calculated formation energy in eV per atom: -0.117

# BaCaRe2 PBE optimized geometry
data_BaCaRe2
_symmetry_space_group_name_H-M 'C m m m'
_symmetry_Int_Tables_number 65
_symmetry_space_group_name_Hall '-C 2 2'
_cell_length_a 5.614
_cell_length_b 10.676
_cell_length_c 2.915
_cell_angle_alpha 90.00
_cell_angle_beta 90.00
_cell_angle_gamma 90.00
loop_
_atom_site_label
_atom_site_type_symbol
_atom_site_fract_x
_atom_site_fract_y
_atom_site_fract_z
_atom_site_occupancy
Ba1 Ba 0.000 0.000 0.000 1
Ca1 Ca 0.000 0.500 0.000 1
Re1 Re 0.250 0.250 0.500 1
# Calculated formation energy in eV per atom: 1.317
# Distance to the lowest polymorph of the same formula in kcal/mol of atoms: 22.27

no.,energy (eV per atom)
1,-8.7147
2,-4.6839
3,-4.6470
4,-8.5927
5,-3.2189
6,-5.8878